(1)
MnCrRu2 | GGA-PBE | relaxed

```
4
Lattice="2.651 0.000 0.000 1.325 2.296 0.000 1.325 0.765 8.377" Properties=species:S:1:pos:R:3 pbc="T T T"
Mn 2.651 1.530 4.159
Cr 3.976 2.296 8.370
Ru 1.325 0.765 6.255
Ru 1.325 0.765 2.158
```

The calculation puts the formation energy at 107 meV/atom. For the density of states at the Fermi level, the calculation gives 4.25 states/eV/cell. The value obtained for the electronic total energy is -9.229 eV/atom.

(2)
YBe3Te | GGA-PBE | relaxed

```
5
Lattice="4.691 0.000 0.000 0.000 4.691 0.000 0.000 0.000 4.691" Properties=species:S:1:pos:R:3 pbc="T T T"
Y 2.346 2.346 2.346
Be 0.000 2.346 0.000
Be 0.000 0.000 2.346
Be 2.346 0.000 0.000
Te 0.000 0.000 0.000
```

For the density of states at the Fermi level, the calculation gives 2.32 states/eV/cell. The calculation puts the formation energy from raw total energies at 945 meV per atom. The value obtained for the electronic total energy is -3.212 eV/atom.

(3)
Fe2TcHOs | GGA-PBE | relaxed

```
5
Lattice="3.718 0.000 0.000 0.000 3.718 0.000 0.000 0.000 3.754" Properties=species:S:1:pos:R:3 pbc="T T T"
H 0.000 0.000 0.000
Os 0.000 0.000 1.877
Tc 1.859 1.859 1.877
Fe 0.000 1.859 0.000
Fe 1.859 0.000 0.000
```

For the density of states at the Fermi level, the calculation gives 4.36 states/eV/cell. The value obtained for the electronic total energy is -8.244 eV/atom.

(4)
PbAu2 | GGA-PBE | relaxed

```
3
Lattice="-4.499 -1.585 0.504 -0.887 -3.898 2.652 -2.236 0.430 4.222" Properties=species:S:1:pos:R:3 pbc="T T T"
Pb 0.000 0.000 0.000
Au -5.716 -3.790 5.533
Au -1.905 -1.263 1.844
```

The calculation puts the formation energy at 167 meV/atom. For the density of states at the Fermi level, the calculation gives 0.67 states/eV/cell. The value obtained for the electronic total energy is -3.254 eV/atom.

(5)
K6GaBr8 | GGA-PBE | relaxed

```
15
Lattice="7.581 0.000 0.000 0.000 8.103 -4.678 0.000 0.000 9.357" Properties=species:S:1:pos:R:3 pbc="T T T"
K 5.890 5.000 -2.886
K 5.890 8.102 1.095
K 5.890 3.103 1.791
K 1.691 3.103 7.564
K 1.691 0.001 3.583
K 1.691 5.000 2.887
Ga 3.791 8.103 4.678
Br 5.264 0.001 2.439
Br 5.264 5.991 3.460
Br 5.264 2.112 8.137
Br 2.317 8.102 2.240
Br 2.317 2.112 1.219
Br 2.317 5.991 -3.458
Br 7.581 2.701 4.678
Br 0.001 5.402 0.000
```

For the density of states at the Fermi level, the calculation gives 4.13 states/eV/cell. The calculation puts the formation energy from raw total energies at -1454 meV per atom. The value obtained for the electronic total energy is -2.987 eV/atom.

(6)
KAc2CuSe4 | GGA-PBE | relaxed

```
16
Lattice="-0.048 -3.631 2.513 5.823 -0.997 -5.207 9.717 6.527 9.616" Properties=species:S:1:pos:R:3 pbc="T T T"
K 8.530 4.293 6.366
K 6.962 -2.393 0.556
Ac 9.697 1.620 2.526
Ac 2.151 -2.167 0.790
Ac 5.794 0.280 4.396
Ac 13.341 4.068 6.132
Cu 11.200 1.171 5.786
Cu 4.292 0.729 1.135
Se 4.234 -0.704 -0.935
Se 8.733 0.908 5.358
Se 11.258 2.604 7.857
Se 6.759 0.993 1.564
Se 4.859 3.264 4.808
Se 0.000 0.000 0.000
Se 12.289 2.470 3.804
Se 3.203 -0.570 3.117
```

The calculation puts the formation energy from raw total energies at -1560 meV per atom. The value obtained for the electronic total energy is -4.979 eV/atom.